## i
3
Lattice="0.000 3.569 3.569 3.569 0.000 3.569 3.569 3.569 0.000" Properties=species:S:1:pos:R:3 comment="GGA-PBE PmSbMo, relaxed" total_magnetization_mub_per_atom=1.243 space_group="No. 216" pbc="T T T"
Pm 0.000 0.000 0.000
Sb 1.784 1.784 1.784
Mo 5.353 5.353 5.353

---

## ii
3
Lattice="0.000 3.401 3.401 3.401 0.000 3.401 3.401 3.401 0.000" Properties=species:S:1:pos:R:3 comment="GGA-PBE PmSbMo, relaxed" total_magnetization_mub_per_atom=0.101 space_group="No. 216" pbc="T T T"
Pm 0.000 0.000 0.000
Sb 5.102 5.102 5.102
Mo 3.401 3.401 3.401

---

ii wins, 0.636 eV/atom ahead of the next structure.

---

## i
3
Lattice="0.000 3.361 3.361 3.361 0.000 3.361 3.361 3.361 0.000" Properties=species:S:1:pos:R:3 comment="GGA-PBE PmTeMo, relaxed" total_magnetization_mub_per_atom=0.384 space_group="No. 216" pbc="T T T"
Pm 0.000 0.000 0.000
Te 3.361 3.361 3.361
Mo 1.680 1.680 1.680

---

## ii
3
Lattice="0.000 3.624 3.624 3.624 0.000 3.624 3.624 3.624 0.000" Properties=species:S:1:pos:R:3 comment="GGA-PBE PmTeMo, relaxed" total_magnetization_mub_per_atom=1.426 space_group="No. 216" pbc="T T T"
Pm 0.000 0.000 0.000
Te 1.812 1.812 1.812
Mo 5.436 5.436 5.436

---

i wins, 0.590 eV/atom ahead of the next structure.

---

## i
3
Lattice="0.000 3.450 3.450 3.450 0.000 3.450 3.450 3.450 0.000" Properties=species:S:1:pos:R:3 comment="GGA-PBE PmTlMo, relaxed" total_magnetization_mub_per_atom=0.489 space_group="No. 216" pbc="T T T"
Pm 0.000 0.000 0.000
Tl 5.175 5.175 5.175
Mo 3.450 3.450 3.450

---

## ii
3
Lattice="0.000 3.563 3.563 3.563 0.000 3.563 3.563 3.563 0.000" Properties=species:S:1:pos:R:3 comment="GGA-PBE PmTlMo, relaxed" total_magnetization_mub_per_atom=1.187 space_group="No. 216" pbc="T T T"
Pm 0.000 0.000 0.000
Tl 1.782 1.782 1.782
Mo 5.345 5.345 5.345

---

i wins, 0.339 eV/atom ahead of the next structure.

---

## i
3
Lattice="0.000 3.344 3.344 3.344 0.000 3.344 3.344 3.344 0.000" Properties=species:S:1:pos:R:3 comment="GGA-PBE PuTeMo, relaxed" total_magnetization_mub_per_atom=1.348 space_group="No. 216" pbc="T T T"
Pu 0.000 0.000 0.000
Te 5.016 5.016 5.016
Mo 3.344 3.344 3.344

---

## ii
3
Lattice="0.000 3.308 3.308 3.308 0.000 3.308 3.308 3.308 0.000" Properties=species:S:1:pos:R:3 comment="GGA-PBE PuTeMo, relaxed" total_magnetization_mub_per_atom=1.144 space_group="No. 216" pbc="T T T"
Pu 0.000 0.000 0.000
Te 1.654 1.654 1.654
Mo 4.962 4.962 4.962

---

i wins, 0.344 eV/atom ahead of the next structure.